Density functional theory data (GGA-PBE) for crystalline HfTc2BiF at its relaxed geometry.

Unit cell a=5.008 b=3.987 c=5.008 alpha=90.00 beta=90.00 gamma=90.00
Sites, in units of the cell vectors:
F 0.000 0.500 0.000
Hf 0.000 0.000 0.000
Tc 0.500 0.000 0.000
Tc 0.000 0.000 0.500
Bi 0.500 0.500 0.500

Results
The total magnetization is 1.66 μB/f.u. Its space group is P4/mmm (123). The uncorrected formation energy is 0.19 eV/atom.